No. 1
{
  "formula": "CoRh4Cl",
  "functional": "GGA-PBE",
  "state": "optimized geometry",
  "cell": [[0.0000, 3.6503, 3.6503], [3.6503, 0.0000, 3.6503], [3.6503, 3.6503, 0.0000]],
  "species": ["Co", "Rh", "Rh", "Rh", "Rh", "Cl"],
  "frac_coords": [[0.0000, 0.0000, 0.0000], [0.3749, 0.3749, 0.3749], [0.3749, 0.3749, 0.8753], [0.3749, 0.8753, 0.3749], [0.8753, 0.3749, 0.3749], [0.7500, 0.7500, 0.7500]],
  "magnetic_moment_mub_per_fu": 5.21,
  "sg": "F-43m",
  "e_form_raw_ev_per_atom": 0.856
}


No. 2
{
  "formula": "CoRhCl2",
  "functional": "GGA-PBE",
  "state": "optimized geometry",
  "cell": [[0.0000, 3.1501, 3.1501], [3.1501, 0.0000, 3.1501], [3.1501, 3.1501, 0.0000]],
  "species": ["Co", "Rh", "Cl", "Cl"],
  "frac_coords": [[0.0000, 0.0000, 0.0000], [0.5000, 0.5000, 0.5000], [0.2500, 0.2500, 0.2500], [0.7500, 0.7500, 0.7500]],
  "polymorph_energy_mev_per_atom": 624,
  "magnetic_moment_mub_per_fu": 4.00,
  "sg": "Fm-3m",
  "e_form_raw_ev_per_atom": 0.557
}


No. 3
{
  "formula": "CoRhS2Cl",
  "functional": "GGA-PBE",
  "state": "optimized geometry",
  "cell": [[4.5950, 0.0000, 0.0000], [0.0000, 4.5950, 0.0000], [0.0000, 0.0000, 4.7126]],
  "species": ["Co", "Rh", "S", "S", "Cl"],
  "frac_coords": [[0.0000, 0.0000, 0.0000], [0.5000, 0.5000, 0.5000], [0.0000, 0.5000, 0.5000], [0.5000, 0.0000, 0.5000], [0.5000, 0.5000, 0.0000]],
  "polymorph_energy_mev_per_atom": 79,
  "magnetic_moment_mub_per_fu": 2.75,
  "sg": "P4/mmm",
  "e_form_raw_ev_per_atom": 0.697
}


No. 4
{
  "formula": "CoRhS2Cl",
  "functional": "GGA-PBE",
  "state": "optimized geometry",
  "cell": [[4.3678, 0.0000, 0.0000], [0.0000, 4.3678, 0.0000], [0.0000, 0.0000, 4.5727]],
  "species": ["Co", "Rh", "S", "S", "Cl"],
  "frac_coords": [[0.0000, 0.0000, 0.0000], [0.5000, 0.5000, 0.5000], [0.0000, 0.5000, 0.0000], [0.5000, 0.0000, 0.0000], [0.0000, 0.0000, 0.5000]],
  "polymorph_energy_mev_per_atom": 0,
  "magnetic_moment_mub_per_fu": 2.73,
  "sg": "P4/mmm",
  "e_form_raw_ev_per_atom": 0.618
}


No. 5
{
  "formula": "Sm8CoRh3Cl4",
  "functional": "GGA-PBE",
  "state": "optimized geometry",
  "cell": [[4.0068, 2.3133, 7.5016], [-4.0068, 2.3133, 7.5016], [0.0000, -4.6267, 7.5016]],
  "species": ["Sm", "Sm", "Sm", "Sm", "Sm", "Sm", "Sm", "Sm", "Co", "Rh", "Rh", "Rh", "Cl", "Cl", "Cl", "Cl"],
  "frac_coords": [[0.2353, 0.2353, 0.2353], [0.2440, 0.7288, 0.7288], [0.2712, 0.2712, 0.7560], [0.2712, 0.7560, 0.2712], [0.7288, 0.2440, 0.7288], [0.7288, 0.7288, 0.2440], [0.7560, 0.2712, 0.2712], [0.7647, 0.7647, 0.7647], [0.5000, 0.5000, 0.5000], [0.0000, 0.0000, 0.5000], [0.0000, 0.5000, 0.0000], [0.5000, 0.0000, 0.0000], [0.0000, 0.0000, 0.0000], [0.0000, 0.5000, 0.5000], [0.5000, 0.0000, 0.5000], [0.5000, 0.5000, 0.0000]],
  "magnetic_moment_mub_per_fu": 0.00,
  "sg": "R-3m",
  "e_form_raw_ev_per_atom": -1.096
}


No. 6
{
  "formula": "Sm6CoRh2Cl3",
  "functional": "GGA-PBE",
  "state": "optimized geometry",
  "cell": [[3.4618, -6.0042, 0.0000], [3.4618, 6.0042, 0.0000], [-2.2980, 0.0000, 7.4850]],
  "species": ["Sm", "Sm", "Sm", "Sm", "Sm", "Sm", "Co", "Rh", "Rh", "Cl", "Cl", "Cl"],
  "frac_coords": [[0.0671, 0.3892, 0.2020], [0.2555, 0.2555, 0.7976], [0.3892, 0.0671, 0.2020], [0.6108, 0.9329, 0.7980], [0.7445, 0.7445, 0.2024], [0.9329, 0.6108, 0.7980], [0.0000, 0.0000, 0.0000], [0.3330, 0.6670, 0.0000], [0.6670, 0.3330, 0.0000], [0.1615, 0.8385, 0.5000], [0.5000, 0.5000, 0.5000], [0.8385, 0.1615, 0.5000]],
  "magnetic_moment_mub_per_fu": 0.00,
  "sg": "C2/m",
  "e_form_raw_ev_per_atom": -1.070
}


No. 7
{
  "formula": "Sm8Co3RhCl4",
  "functional": "GGA-PBE",
  "state": "optimized geometry",
  "cell": [[6.8218, -3.9393, 0.0000], [6.8218, 3.9393, 0.0000], [-4.5574, 0.0000, 7.4825]],
  "species": ["Sm", "Sm", "Sm", "Sm", "Sm", "Sm", "Sm", "Sm", "Co", "Co", "Co", "Rh", "Cl", "Cl", "Cl", "Cl"],
  "frac_coords": [[0.2253, 0.7387, 0.7020], [0.2330, 0.2330, 0.6983], [0.2613, 0.2613, 0.2980], [0.2613, 0.7747, 0.2980], [0.7387, 0.2253, 0.7020], [0.7387, 0.7387, 0.7020], [0.7670, 0.7670, 0.3017], [0.7747, 0.2613, 0.2980], [0.0000, 0.0000, 0.5000], [0.0000, 0.5000, 0.5000], [0.5000, 0.0000, 0.5000], [0.5000, 0.5000, 0.5000], [0.0000, 0.0000, 0.0000], [0.0000, 0.5000, 0.0000], [0.5000, 0.0000, 0.0000], [0.5000, 0.5000, 0.0000]],
  "magnetic_moment_mub_per_fu": 0.00,
  "sg": "C2/m",
  "e_form_raw_ev_per_atom": -0.924
}


No. 8
{
  "formula": "Sm6Co2RhCl3",
  "functional": "GGA-PBE",
  "state": "optimized geometry",
  "cell": [[9.4128, -1.9725, 0.0000], [9.4128, 1.9725, 0.0000], [-3.1777, 0.0000, 8.1770]],
  "species": ["Sm", "Sm", "Sm", "Sm", "Sm", "Sm", "Co", "Co", "Rh", "Cl", "Cl", "Cl"],
  "frac_coords": [[0.0147, 0.0147, 0.2321], [0.3223, 0.3223, 0.4431], [0.3403, 0.3403, 0.8798], [0.6597, 0.6597, 0.1202], [0.6777, 0.6777, 0.5569], [0.9853, 0.9853, 0.7679], [0.1684, 0.1684, 0.3387], [0.8316, 0.8316, 0.6613], [0.5000, 0.5000, 0.0000], [0.1676, 0.1676, 0.8341], [0.5000, 0.5000, 0.5000], [0.8324, 0.8324, 0.1659]],
  "magnetic_moment_mub_per_fu": 0.00,
  "sg": "C2/m",
  "e_form_raw_ev_per_atom": -0.954
}